# 1
The following is a DFT calculation (PBE) of Ti2B2Sb after structural relaxation.

magnetic moment = 0.000 Bohr magnetons per cell
E above lowest polymorph = 323.1 meV/atom
formation energy (no corrections) = 0.10 eV per atom

Cell: 3.937 3.937 5.285 Å, 68.13 68.13 90.00°
Fractional positions:
B  0.406  0.406  0.187
Sb  0.000  0.000  0.000
Ti  0.750  0.250  0.500
B  0.594  0.594  0.813
Ti  0.250  0.750  0.500


# 2
The following is a DFT calculation (PBE) of BaLi3Mo after structural relaxation.

magnetic moment = 4.059 Bohr magnetons per cell
E above lowest polymorph = 0.0 meV/atom
ΔH_f (0 K) = 0.845 eV/atom

Cell: 5.358 5.358 5.358 Å, 90.00 90.00 90.00°
Last column: magnetic moment on the atom in μB.
Fractional positions:
Li  0.000  0.500  0.000  0.02
Mo  0.000  0.000  0.000  3.23
Li  0.000  0.000  0.500  0.01
Li  0.500  0.000  0.000  0.03
Ba  0.500  0.500  0.500  -0.04


# 3
The following is a DFT calculation (PBE) of AlNiMoRu after structural relaxation.

magnetic moment = 0.875 Bohr magnetons per cell
ΔH_f (0 K) = -0.220 eV/atom

Cell: 4.277 4.277 4.277 Å, 60.00 60.00 60.00°
Last column: magnetic moment on the atom in μB.
Fractional positions:
Ru  0.750  0.750  0.750  0.09
Al  0.500  0.500  0.500  0.00
Ni  0.250  0.250  0.250  0.45
Mo  0.000  0.000  0.000  0.32


# 4
The following is a DFT calculation (PBE) of Li2Pm2YBi2 after structural relaxation.

magnetic moment = 0.000 Bohr magnetons per cell
ΔH_f (0 K) = -0.427 eV/atom

Cell: 4.903 4.903 9.473 Å, 75.00 75.00 60.00°
Fractional positions:
Li  0.595  0.595  0.215
Li  0.405  0.405  0.785
Y  0.000  0.000  0.000
Bi  0.268  0.268  0.197
Bi  0.732  0.732  0.803
Pm  0.130  0.130  0.610
Pm  0.870  0.870  0.390


# 5
The following is a DFT calculation (PBE) of Nb2Zn2Ni after structural relaxation.

magnetic moment = 0.000 Bohr magnetons per cell
ΔH_f (0 K) = 0.065 eV/atom

Cell: 6.279 6.279 3.925 Å, 90.00 90.00 90.00°
Fractional positions:
Zn  0.637  0.137  0.000
Nb  0.169  0.669  0.500
Ni  0.000  0.000  0.000
Nb  0.331  0.169  0.500
Zn  0.137  0.363  0.000
Zn  0.363  0.863  0.000
Ni  0.500  0.500  0.000
Zn  0.863  0.637  0.000
Nb  0.831  0.331  0.500
Nb  0.669  0.831  0.500


# 6
The following is a DFT calculation (PBE) of CaMg4Hg4 after structural relaxation.

magnetic moment = 0.000 Bohr magnetons per cell
ΔH_f (0 K) = -0.222 eV/atom

Cell: 6.906 6.906 9.452 Å, 90.00 90.00 90.00°
Fractional positions:
Mg  0.500  0.230  0.093
Hg  0.275  0.000  0.290
Mg  0.000  0.270  0.407
Mg  0.000  0.730  0.407
Mg  0.770  0.500  0.907
Hg  0.500  0.225  0.790
Ca  0.500  0.500  0.500
Mg  0.500  0.770  0.093
Hg  0.000  0.725  0.710
Hg  0.225  0.500  0.210
Mg  0.270  0.000  0.593
Hg  0.775  0.500  0.210
Hg  0.000  0.275  0.710
Mg  0.230  0.500  0.907
Hg  0.725  0.000  0.290
Mg  0.730  0.000  0.593
Ca  0.000  0.000  0.000
Hg  0.500  0.775  0.790


# 7
The following is a DFT calculation (PBE) of PrPuAs2Pd2 after structural relaxation.

magnetic moment = 5.119 Bohr magnetons per cell
ΔH_f (0 K) = -0.998 eV/atom

Cell: 4.374 4.374 7.775 Å, 90.00 90.00 120.00°
Last column: magnetic moment on the atom in μB.
Fractional positions:
As  0.667  0.333  0.762  -0.06
As  0.333  0.667  0.238  -0.06
Pu  0.000  0.000  0.000  5.18
Pd  0.667  0.333  0.247  -0.06
Pd  0.333  0.667  0.753  -0.06
Pr  0.000  0.000  0.500  0.01


# 8
The following is a DFT calculation (PBE) of PrHo2Mg2 after structural relaxation.

magnetic moment = 0.000 Bohr magnetons per cell
E above lowest polymorph = 106.4 meV/atom
ΔH_f (0 K) = 0.042 eV/atom

Cell: 3.612 9.019 9.019 Å, 90.00 90.00 90.00°
Fractional positions:
Pr  0.000  0.000  0.000
Mg  0.500  0.835  0.335
Ho  0.000  0.632  0.132
Mg  0.500  0.665  0.835
Ho  0.000  0.868  0.632
Ho  0.000  0.368  0.868
Mg  0.500  0.335  0.165
Pr  0.000  0.500  0.500
Ho  0.000  0.132  0.368
Mg  0.500  0.165  0.665


# 9
The following is a DFT calculation (PBE) of Ti6Al12Ge after structural relaxation.

magnetic moment = 0.003 Bohr magnetons per cell
ΔH_f (0 K) = 0.091 eV/atom

Cell: 7.633 7.633 7.633 Å, 109.01 109.01 109.01°
Fractional positions:
Al  0.306  0.068  0.306
Ti  0.663  0.292  0.663
Al  0.115  0.500  0.885
Ge  0.000  0.000  0.000
Al  0.694  0.932  0.694
Ti  0.663  0.663  0.292
Al  0.306  0.306  0.068
Al  0.885  0.115  0.500
Al  0.694  0.694  0.932
Al  0.500  0.885  0.115
Ti  0.708  0.337  0.337
Al  0.932  0.694  0.694
Al  0.885  0.500  0.115
Al  0.068  0.306  0.306
Ti  0.337  0.337  0.708
Ti  0.292  0.663  0.663
Ti  0.337  0.708  0.337
Al  0.500  0.115  0.885
Al  0.115  0.885  0.500